(1)
Here is an optimized crystal structure of MgH4Pd7 from the Alexandria database. Energies are from PBE.

The structure in CIF format:
```
data_MgH4Pd7
_cell_length_a 4.851
_cell_length_b 5.716
_cell_length_c 6.545
_cell_angle_alpha 81.74
_cell_angle_beta 68.25
_cell_angle_gamma 64.89
_symmetry_space_group_name_H-M 'P 1'
_symmetry_Int_Tables_number 1
loop_
_symmetry_equiv_pos_as_xyz
'x,y,z'
loop_
_atom_site_label
_atom_site_fract_x
_atom_site_fract_y
_atom_site_fract_z
Pd1 0.526 0.634 0.314
Pd2 0.162 0.159 0.517
Pd3 0.500 0.000 0.000
Pd4 0.180 0.517 0.123
Pd5 0.838 0.841 0.483
Pd6 0.820 0.483 0.877
Pd7 0.474 0.366 0.686
H1 0.316 0.823 0.545
H2 0.718 0.798 0.766
H3 0.282 0.202 0.234
H4 0.684 0.177 0.455
Mg1 0.000 0.000 0.000
```

raw total energy	-4.26	eV/atom
space-group type	C2/m
size of the total moment	0.0	Bohr magnetons per cell

---

(2)
Here is an optimized crystal structure of MgH7Pd5 from the Alexandria database. Energies are from PBE.

The structure in CIF format:
```
data_MgH7Pd5
_cell_length_a 5.312
_cell_length_b 4.262
_cell_length_c 12.426
_cell_angle_alpha 90.94
_cell_angle_beta 106.69
_cell_angle_gamma 114.42
_symmetry_space_group_name_H-M 'P 1'
_symmetry_Int_Tables_number 1
loop_
_symmetry_equiv_pos_as_xyz
'x,y,z'
loop_
_atom_site_label
_atom_site_fract_x
_atom_site_fract_y
_atom_site_fract_z
Pd1 0.339 0.671 0.668
Pd2 0.696 0.337 0.841
Pd3 0.676 0.322 0.589
Pd4 0.313 0.620 0.412
Pd5 0.991 0.957 0.500
Pd6 0.314 0.645 0.161
Pd7 0.660 0.291 0.330
Pd8 0.650 0.321 0.087
Pd9 0.358 0.658 0.913
Pd10 0.006 0.993 0.001
H1 0.587 0.483 0.207
H2 0.354 0.907 0.540
H3 0.322 0.416 0.033
H4 0.654 0.103 0.715
H5 0.989 0.213 0.389
H6 0.996 0.728 0.624
H7 0.621 0.517 0.456
H8 0.960 0.252 0.101
H9 0.408 0.476 0.790
H10 0.987 0.691 0.379
H11 0.017 0.265 0.604
H12 0.052 0.732 0.901
H13 0.359 0.863 0.292
H14 0.689 0.571 0.968
Mg1 0.985 0.983 0.235
Mg2 0.021 0.000 0.766
```

raw total energy	-4.09	eV/atom
space-group type	P1
size of the total moment	0.0	Bohr magnetons per cell

---

(3)
Here is an optimized crystal structure of MgH4Pd4 from the Alexandria database. Energies are from PBE.

The structure in CIF format:
```
data_MgH4Pd4
_cell_length_a 3.922
_cell_length_b 5.166
_cell_length_c 5.146
_cell_angle_alpha 81.38
_cell_angle_beta 67.60
_cell_angle_gamma 67.69
_symmetry_space_group_name_H-M 'P 1'
_symmetry_Int_Tables_number 1
loop_
_symmetry_equiv_pos_as_xyz
'x,y,z'
loop_
_atom_site_label
_atom_site_fract_x
_atom_site_fract_y
_atom_site_fract_z
Mg1 0.000 0.000 0.000
Pd1 0.203 0.195 0.400
Pd2 0.602 0.601 0.194
Pd3 0.398 0.399 0.806
Pd4 0.797 0.805 0.600
H1 0.853 0.471 0.823
H2 0.675 0.176 0.474
H3 0.147 0.529 0.177
H4 0.325 0.824 0.526
```

raw total energy	-4.25	eV/atom
space-group type	C2/m
size of the total moment	0.0	Bohr magnetons per cell

---

(4)
Here is an optimized crystal structure of MgHPd from the Alexandria database. Energies are from PBE.

The structure in CIF format:
```
data_MgHPd
_cell_length_a 4.380
_cell_length_b 3.106
_cell_length_c 3.106
_cell_angle_alpha 120.00
_cell_angle_beta 90.00
_cell_angle_gamma 90.00
_symmetry_space_group_name_H-M 'P 1'
_symmetry_Int_Tables_number 1
loop_
_symmetry_equiv_pos_as_xyz
'x,y,z'
loop_
_atom_site_label
_atom_site_fract_x
_atom_site_fract_y
_atom_site_fract_z
Pd1 0.120 0.000 0.000
Mg1 0.630 0.333 0.667
H1 0.250 0.667 0.333
```

raw total energy	-3.73	eV/atom
space-group type	P3m1
size of the total moment	0.0	Bohr magnetons per cell